DFT (GGA-PBE) results for a geometry-optimized Rb3TiSe3 structure.

Cell lengths 8.3376, 8.3376, 8.3514 Å; angles 98.33, 98.33, 113.68 degrees
Last column: nearest neighbours and their distance in Å.
Element x y z (fractional)
1 Rb 0.1738 0.8262 0.0000  6 Se 3.48-3.63
2 Rb 0.2696 0.7304 0.5000  4 Se 3.44-3.59
3 Rb 0.3898 0.3898 0.1402  5 Se 3.31-3.58, 1 Rb 3.47
4 Rb 0.6102 0.6102 0.8598  5 Se 3.31-3.58, 1 Rb 3.47
5 Rb 0.7304 0.2696 0.5000  4 Se 3.44-3.59
6 Rb 0.8262 0.1738 0.0000  6 Se 3.48-3.63
7 Ti 0.1487 0.1487 0.6367  4 Se 2.45-2.49
8 Ti 0.8513 0.8513 0.3633  4 Se 2.45-2.49
9 Se 0.1147 0.1147 0.3304  2 Ti 2.49
10 Se 0.1413 0.4264 0.7709  1 Ti 2.45
11 Se 0.4264 0.1413 0.7709  1 Ti 2.45
12 Se 0.5736 0.8587 0.2291  1 Ti 2.45
13 Se 0.8587 0.5736 0.2291  1 Ti 2.45
14 Se 0.8853 0.8853 0.6696  2 Ti 2.49

## Properties
Relative energy among the computed polymorphs, eV per atom: 0.0000
ΔE_f (raw), eV per formula unit: -8.4
Uncorrected energy, eV/atom: -4.2373
Volume, Å³/atom: 36.619
Total magnetization, Bohr magnetons per cell: 0.0